No. 1
The following is a DFT calculation (PBE) of crystalline SmZnGe at its relaxed geometry.

Cell lengths 4.2715, 4.2715, 16.2071 Å; angles 90.00, 90.00, 120.00 degrees
Space group P6_3/mmc (No. 194)
Symmetry-distinct sites (fractional):
Sm: 0.0000 0.0000 0.0000 x2
Sm: 0.0000 0.0000 0.2500 x2
Zn: 0.3333 0.6667 0.1435 x4
Ge: 0.3333 0.6667 0.6155 x4

Properties
Total energy in eV/atom: -4.23

No. 2
The following is a DFT calculation (PBE) of crystalline CdGeSO at its relaxed geometry.

Cell lengths 3.8634, 3.8634, 9.2810 Å; angles 90.00, 90.00, 90.00 degrees
Space group P4/nmm (No. 129, origin choice 2)
Symmetry-distinct sites (fractional):
Cd: 0.2500 0.2500 0.1551 x2
Ge: 0.2500 0.7500 0.5000 x2
S: 0.2500 0.2500 0.7249 x2
O: 0.2500 0.2500 0.9082 x2

Properties
Total energy in eV/atom: -3.62
ΔE to the lowest computed polymorph in kJ per mole of atoms: 77.4

No. 3
The following is a DFT calculation (PBE) of crystalline Na4AlCdGa2 at its relaxed geometry.

Cell lengths 4.9237, 4.9237, 7.0481 Å; angles 90.00, 90.00, 90.00 degrees
Space group P-4m2 (No. 115)
Symmetry-distinct sites (fractional):
Na: 0.0000 0.0000 0.0000 x1
Na: 0.0000 0.5000 0.7493 x2
Na: 0.5000 0.5000 0.5000 x1
Al: 0.0000 0.0000 0.5000 x1
Cd: 0.5000 0.5000 0.0000 x1
Ga: 0.0000 0.5000 0.2602 x2

Properties
Total energy in eV/atom: -2.02

No. 4
The following is a DFT calculation (PBE) of crystalline Dy3Si4Au2 at its relaxed geometry.

Cell lengths 10.7640, 4.2197, 8.1975 Å; angles 90.00, 102.61, 90.00 degrees
Space group C2/m (No. 12)
Symmetry-distinct sites (fractional):
Dy: 0.0000 0.0000 0.0000 x2
Dy: 0.1626 0.5000 0.6729 x4
Si: 0.0550 0.0000 0.3920 x4
Si: 0.2243 0.5000 0.0525 x4
Au: 0.1144 0.5000 0.2809 x4

Properties
Total energy in eV/atom: -5.46

No. 5
The following is a DFT calculation (PBE) of crystalline PuBePb at its relaxed geometry.

Cell lengths 6.5382, 6.5382, 6.5382 Å; angles 90.00, 90.00, 90.00 degrees
Space group F-43m (No. 216)
Symmetry-distinct sites (fractional):
Pu: 0.0000 0.0000 0.0000 x4
Be: 0.2500 0.2500 0.7500 x4
Pb: 0.0000 0.0000 0.5000 x4

Properties
Total energy in eV/atom: -7.11

No. 6
The following is a DFT calculation (PBE) of crystalline TmInF5 at its relaxed geometry.

Cell lengths 4.0284, 6.6815, 8.4755 Å; angles 90.00, 90.00, 90.00 degrees
Space group Immm (No. 71)
Symmetry-distinct sites (fractional):
Tm: 0.0000 0.0000 0.0000 x2
In: 0.0000 0.0000 0.5000 x2
F: 0.0000 0.0000 0.2401 x4
F: 0.0000 0.3310 0.5000 x4
F: 0.0000 0.5000 0.0000 x2

Properties
Total energy in eV/atom: -5.35

No. 7
The following is a DFT calculation (PBE) of crystalline Tl2PdBr2Cl2 at its relaxed geometry.

Cell lengths 10.1323, 10.6928, 4.3224 Å; angles 90.00, 90.00, 90.00 degrees
Space group Cmmm (No. 65)
Symmetry-distinct sites (fractional):
Tl: 0.2500 0.2500 0.0000 x4
Pd: 0.0000 0.0000 0.5000 x2
Br: 0.2434 0.0000 0.5000 x4
Cl: 0.0000 0.2180 0.5000 x4

Properties
Total energy in eV/atom: -3.16

No. 8
The following is a DFT calculation (PBE) of crystalline Tm3Mg3GaAg2 at its relaxed geometry.

Cell lengths 7.4143, 7.4143, 4.2975 Å; angles 90.00, 90.00, 120.00 degrees
Space group P-62m (No. 189)
Symmetry-distinct sites (fractional):
Tm: 0.0000 0.5863 0.0000 x3
Mg: 0.0000 0.2425 0.5000 x3
Ga: 0.0000 0.0000 0.0000 x1
Ag: 0.3333 0.6667 0.5000 x2

Properties
Total energy in eV/atom: -3.28